Entry 1:
A plane-wave DFT calculation with SCAN was carried out for a crystal of Au3Se relaxed with PBEsol.

Output
SG: Pm-3m (221)
ΔE_f (raw) in kJ/mol of atoms: 58.4
VASP energy in eV/atom: -56.282

Lattice parameters (Å, degrees): 4.9688 4.9688 4.9688 90.00 90.00 90.00
With the nearest neighbours (Å) after each atom.
Element x y z (fractional)
Au (0.0000, 0.0000, 0.5000)  2 Se 2.48
Au (0.0000, 0.5000, 0.0000)  2 Se 2.48
Au (0.5000, 0.0000, 0.0000)  2 Se 2.48
Se (0.0000, 0.0000, 0.0000)  6 Au 2.48

=====

Entry 2:
A plane-wave DFT calculation with SCAN was carried out for a crystal of AuSe relaxed with PBEsol.

Output
SG: P4/mmm (123)
ΔE_f (raw) in kJ/mol of atoms: 7.9
VASP energy in eV/atom: -44.536

Lattice parameters (Å, degrees): 3.7538 3.7538 2.8077 90.00 90.00 90.00
With the nearest neighbours (Å) after each atom.
Element x y z (fractional)
Au (0.0000, 0.0000, 0.0000)  4 Se 2.65, 2 Au 2.81
Se (0.5000, 0.5000, 0.0000)  4 Au 2.65, 2 Se 2.81

=====

Entry 3:
A plane-wave DFT calculation with SCAN was carried out for a crystal of AuSe2 relaxed with PBEsol.

Output
SG: Fd-3m (227)
ΔE_f (raw) in kJ/mol of atoms: 83.4
VASP energy in eV/atom: -35.573

Lattice parameters (Å, degrees): 5.5520 5.5520 5.5520 60.00 60.00 60.00
With the nearest neighbours (Å) after each atom.
Element x y z (fractional)
Au (0.1250, 0.1250, 0.1250)  12 Se 3.26, 4 Au 3.40
Au (0.8750, 0.8750, 0.8750)  12 Se 3.26, 4 Au 3.40
Se (0.0000, 0.5000, 0.5000)  6 Se 2.78
Se (0.5000, 0.0000, 0.5000)  6 Se 2.78
Se (0.5000, 0.5000, 0.0000)  6 Se 2.78
Se (0.5000, 0.5000, 0.5000)  6 Se 2.78

=====

Entry 4:
A plane-wave DFT calculation with SCAN was carried out for a crystal of AuSe2 relaxed with PBEsol.

Output
SG: Pnnm (58)
ΔE_f (raw) in kJ/mol of atoms: 4.6
VASP energy in eV/atom: -36.390

Lattice parameters (Å, degrees): 5.1881 6.5079 4.0116 90.00 90.00 90.00
With the nearest neighbours (Å) after each atom.
Element x y z (fractional)
Au (0.0000, 0.0000, 0.0000)  6 Se 2.67-2.74
Au (0.5000, 0.5000, 0.5000)  6 Se 2.67-2.74
Se (0.1856, 0.3946, 0.0000)  1 Se 2.36
Se (0.3144, 0.8946, 0.5000)  1 Se 2.36
Se (0.6856, 0.1054, 0.5000)  1 Se 2.36
Se (0.8144, 0.6054, 0.0000)  1 Se 2.36

=====

Entry 5:
A plane-wave DFT calculation with SCAN was carried out for a crystal of AuSe2 relaxed with PBEsol.

Output
SG: Imma (74)
ΔE_f (raw) in kJ/mol of atoms: 21.4
VASP energy in eV/atom: -36.216

Lattice parameters (Å, degrees): 10.5799 10.5799 10.5799 160.04 159.97 28.43
With the nearest neighbours (Å) after each atom.
Element x y z (fractional)
Au (0.4400, 0.1900, 0.2500)  4 Se 2.63
Au (0.5600, 0.8100, 0.7500)  4 Se 2.63
Se (0.0809, 0.3309, 0.7500)  1 Se 2.54, 4 Au 2.63
Se (0.2049, 0.4549, 0.7500)  3 Se 2.54-2.61
Se (0.7951, 0.5451, 0.2500)  3 Se 2.54-2.61
Se (0.9191, 0.6691, 0.2500)  1 Se 2.54, 4 Au 2.63

=====

Entry 6:
A plane-wave DFT calculation with SCAN was carried out for a crystal of AuSe4 relaxed with PBEsol.

Output
SG: Im-3m (229)
ΔE_f (raw) in kJ/mol of atoms: 48.1
Excess energy over the best structure of this formula in the dataset in meV per atom: 161
VASP energy in eV/atom: -29.395

Lattice parameters (Å, degrees): 5.3282 5.3282 5.3282 109.47 109.47 109.47
With the nearest neighbours (Å) after each atom.
Element x y z (fractional)
Au (0.0000, 0.0000, 0.0000)  8 Se 2.66
Se (0.0000, 0.0000, 0.5000)  2 Au 2.66
Se (0.0000, 0.5000, 0.0000)  2 Au 2.66
Se (0.5000, 0.0000, 0.0000)  2 Au 2.66
Se (0.5000, 0.5000, 0.5000)  2 Au 2.66

=====

Entry 7:
A plane-wave DFT calculation with SCAN was carried out for a crystal of AuSe2 relaxed with PBEsol.

Output
SG: P4/mmm (123)
ΔE_f (raw) in kJ/mol of atoms: 38.4
VASP energy in eV/atom: -36.040

Lattice parameters (Å, degrees): 5.0074 5.0074 2.7092 90.00 90.00 90.00
With the nearest neighbours (Å) after each atom.
Element x y z (fractional)
Au (0.0000, 0.0000, 0.0000)  2 Au 2.71, 8 Se 2.85
Se (0.0000, 0.5000, 0.5000)  2 Se 2.71, 4 Au 2.85
Se (0.5000, 0.0000, 0.5000)  2 Se 2.71, 4 Au 2.85

=====

Entry 8:
A plane-wave DFT calculation with SCAN was carried out for a crystal of AuSe relaxed with PBEsol.

Output
SG: P4/mmm (123)
ΔE_f (raw) in kJ/mol of atoms: 43.2
VASP energy in eV/atom: -44.170

Lattice parameters (Å, degrees): 2.7565 2.7565 4.9405 90.00 90.00 90.00
With the nearest neighbours (Å) after each atom.
Element x y z (fractional)
Au (0.0000, 0.0000, 0.0000)  4 Au 2.76
Se (0.5000, 0.5000, 0.5000)  4 Se 2.76

=====

Entry 9:
A plane-wave DFT calculation with SCAN was carried out for a crystal of AuSe2 relaxed with PBEsol.

Output
SG: I4_1/amd (141)
ΔE_f (raw) in kJ/mol of atoms: 44.2
VASP energy in eV/atom: -35.980

Lattice parameters (Å, degrees): 11.0333 11.0333 11.0333 162.62 162.62 24.67
With the nearest neighbours (Å) after each atom.
Element x y z (fractional)
Au (0.3750, 0.6250, 0.7500)  8 Se 2.91
Au (0.6250, 0.3750, 0.2500)  8 Se 2.91
Se (0.0462, 0.7962, 0.2500)  2 Se 2.60, 4 Au 2.91
Se (0.2038, 0.9538, 0.2500)  2 Se 2.60, 4 Au 2.91
Se (0.7962, 0.0462, 0.7500)  2 Se 2.60, 4 Au 2.91
Se (0.9538, 0.2038, 0.7500)  2 Se 2.60, 4 Au 2.91

=====

Entry 10:
A plane-wave DFT calculation with SCAN was carried out for a crystal of Au2Se relaxed with PBEsol.

Output
SG: I4_1/amd (141)
ΔE_f (raw) in kJ/mol of atoms: 35.2
VASP energy in eV/atom: -52.433

Lattice parameters (Å, degrees): 10.0578 10.0578 10.0578 160.29 160.29 28.02
With the nearest neighbours (Å) after each atom.
Element x y z (fractional)
Au (0.3026, 0.5526, 0.7500)  3 Au 2.68-2.83, 4 Se 2.82
Au (0.4474, 0.6974, 0.7500)  3 Au 2.68-2.83, 4 Se 2.82
Au (0.5526, 0.3026, 0.2500)  3 Au 2.68-2.83, 4 Se 2.82
Au (0.6974, 0.4474, 0.2500)  3 Au 2.68-2.83, 4 Se 2.82
Se (0.1250, 0.8750, 0.2500)  8 Au 2.82
Se (0.8750, 0.1250, 0.7500)  8 Au 2.82

=====

Entry 11:
A plane-wave DFT calculation with SCAN was carried out for a crystal of SiAuSe2 relaxed with PBEsol.

Output
SG: Immm (71)
ΔE_f (raw) in kJ/mol of atoms: 15.0
VASP energy in eV/atom: -29.677

Lattice parameters (Å, degrees): 6.1327 6.1327 6.1327 148.00 139.75 52.32
With the nearest neighbours (Å) after each atom.
Element x y z (fractional)
Si (0.0000, 0.0000, 0.0000)  4 Se 2.49, 4 Au 2.70
Au (0.5000, 0.5000, 0.0000)  4 Si 2.70, 4 Se 2.79
Se (0.1664, 0.6664, 0.5000)  2 Si 2.49
Se (0.8336, 0.3336, 0.5000)  2 Si 2.49

=====

Entry 12:
A plane-wave DFT calculation with SCAN was carried out for a crystal of SiAuSe2 relaxed with PBEsol.

Output
SG: F-43m (216)
ΔE_f (raw) in kJ/mol of atoms: 62.8
VASP energy in eV/atom: -29.181

Lattice parameters (Å, degrees): 4.6760 4.6760 4.6760 60.00 60.00 60.00
With the nearest neighbours (Å) after each atom.
Element x y z (fractional)
Si (0.0000, 0.0000, 0.0000)  4 Au 2.86, 4 Se 2.86
Au (0.7500, 0.7500, 0.7500)  4 Si 2.86, 4 Se 2.86
Se (0.2500, 0.2500, 0.2500)  4 Se 2.86, 4 Si 2.86
Se (0.5000, 0.5000, 0.5000)  4 Au 2.86, 4 Se 2.86

=====

Entry 13:
A plane-wave DFT calculation with SCAN was carried out for a crystal of SiAuSe2 relaxed with PBEsol.

Output
SG: Imm2 (44)
ΔE_f (raw) in kJ/mol of atoms: 28.5
VASP energy in eV/atom: -29.537

Lattice parameters (Å, degrees): 6.8811 6.8811 6.8811 151.56 149.80 41.96
With the nearest neighbours (Å) after each atom.
Element x y z (fractional)
Si (0.0000, 0.0000, 0.0000)  6 Se 2.50-2.72
Au (0.2467, 0.7467, 0.5000)  6 Se 2.70-2.84
Se (0.5899, 0.5899, 0.0000)  2 Au 2.70, 4 Si 2.72
Se (0.8564, 0.3564, 0.5000)  2 Si 2.50

=====

Entry 14:
A plane-wave DFT calculation with SCAN was carried out for a crystal of SiAuSe2 relaxed with PBEsol.

Output
SG: I-42d (122)
ΔE_f (raw) in kJ/mol of atoms: 8.9
VASP energy in eV/atom: -29.740

Lattice parameters (Å, degrees): 7.3641 7.3641 7.3641 135.55 135.55 64.68
With the nearest neighbours (Å) after each atom.
Element x y z (fractional)
Si (0.0000, 0.0000, 0.0000)  4 Se 2.43
Si (0.7500, 0.2500, 0.5000)  4 Se 2.43
Au (0.2500, 0.7500, 0.5000)  4 Se 2.59
Au (0.5000, 0.5000, 0.0000)  4 Se 2.59
Se (0.0992, 0.6250, 0.9742)  2 Si 2.43, 2 Au 2.59
Se (0.3750, 0.3492, 0.4742)  2 Si 2.43, 2 Au 2.59
Se (0.6508, 0.1250, 0.0258)  2 Si 2.43, 2 Au 2.59
Se (0.8750, 0.9008, 0.5258)  2 Si 2.43, 2 Au 2.59

=====

Entry 15:
A plane-wave DFT calculation with SCAN was carried out for a crystal of Si3AuSe relaxed with PBEsol.

Output
SG: Pm-3m (221)
ΔE_f (raw) in kJ/mol of atoms: 131.1
VASP energy in eV/atom: -22.498

Lattice parameters (Å, degrees): 4.7173 4.7173 4.7173 90.00 90.00 90.00
With the nearest neighbours (Å) after each atom.
Element x y z (fractional)
Si (0.0000, 0.0000, 0.5000)  2 Se 2.36
Si (0.0000, 0.5000, 0.0000)  2 Se 2.36
Si (0.5000, 0.0000, 0.0000)  2 Se 2.36
Au (0.5000, 0.5000, 0.5000)  12 Si 3.34
Se (0.0000, 0.0000, 0.0000)  6 Si 2.36

=====

Entry 16:
A plane-wave DFT calculation with SCAN was carried out for a crystal of SiAu2Se relaxed with PBEsol.

Output
SG: Immm (71)
ΔE_f (raw) in kJ/mol of atoms: 29.6
Excess energy over the best structure of this formula in the dataset in meV per atom: 0
VASP energy in eV/atom: -41.795

Lattice parameters (Å, degrees): 6.1431 6.1431 6.1431 149.05 142.38 49.48
With the nearest neighbours (Å) after each atom.
Element x y z (fractional)
Si (0.0000, 0.0000, 0.0000)  4 Se 2.57, 4 Au 2.71
Au (0.1939, 0.6939, 0.5000)  2 Si 2.71, 4 Au 2.86, 2 Se 2.93
Au (0.8061, 0.3061, 0.5000)  2 Si 2.71, 4 Au 2.86, 2 Se 2.93
Se (0.5000, 0.5000, 0.0000)  4 Si 2.57

=====

Entry 17:
A plane-wave DFT calculation with SCAN was carried out for a crystal of SiAu2Se relaxed with PBEsol.

Output
SG: I4/mmm (139)
ΔE_f (raw) in kJ/mol of atoms: 40.9
Excess energy over the best structure of this formula in the dataset in meV per atom: 117
VASP energy in eV/atom: -41.678

Lattice parameters (Å, degrees): 5.4442 5.4442 5.4442 138.04 138.04 60.84
With the nearest neighbours (Å) after each atom.
Element x y z (fractional)
Si (0.0000, 0.0000, 0.0000)  4 Se 2.76, 8 Au 3.05
Au (0.2500, 0.7500, 0.5000)  4 Au 2.76, 4 Se 3.05, 4 Si 3.05
Au (0.7500, 0.2500, 0.5000)  4 Au 2.76, 4 Se 3.05, 4 Si 3.05
Se (0.5000, 0.5000, 0.0000)  4 Si 2.76, 8 Au 3.05

=====

Entry 18:
A plane-wave DFT calculation with SCAN was carried out for a crystal of SiAuSe2 relaxed with PBEsol.

Output
SG: Cmmm (65)
ΔE_f (raw) in kJ/mol of atoms: 50.9
VASP energy in eV/atom: -29.305

Lattice parameters (Å, degrees): 2.7637 2.7637 10.5506 90.00 90.00 112.08
With the nearest neighbours (Å) after each atom.
Element x y z (fractional)
Si (0.0000, 0.0000, 0.0000)  4 Se 2.74, 4 Si 2.76
Au (0.0000, 0.0000, 0.5000)  6 Au 2.76-3.09
Se (0.5000, 0.5000, 0.2148)  2 Si 2.74, 4 Se 2.76
Se (0.5000, 0.5000, 0.7852)  2 Si 2.74, 4 Se 2.76

=====

Entry 19:
A plane-wave DFT calculation with SCAN was carried out for a crystal of SiAuSe2 relaxed with PBEsol.

Output
SG: Pmmm (47)
ΔE_f (raw) in kJ/mol of atoms: 52.6
VASP energy in eV/atom: -29.287

Lattice parameters (Å, degrees): 2.8144 3.6059 7.2882 90.00 90.00 90.00
With the nearest neighbours (Å) after each atom.
Element x y z (fractional)
Si (0.0000, 0.0000, 0.0000)  2 Si 2.81, 8 Se 2.87
Au (0.0000, 0.0000, 0.5000)  2 Au 2.81, 8 Se 2.98
Se (0.5000, 0.5000, 0.2389)  2 Se 2.81, 4 Si 2.87, 4 Au 2.98
Se (0.5000, 0.5000, 0.7611)  2 Se 2.81, 4 Si 2.87, 4 Au 2.98

=====

Entry 20:
A plane-wave DFT calculation with SCAN was carried out for a crystal of Sn2AuSe2 relaxed with PBEsol.

Output
SG: I4/mmm (139)
ΔE_f (raw) in kJ/mol of atoms: -6.6
VASP energy in eV/atom: -36.300

Lattice parameters (Å, degrees): 5.6694 5.6694 5.6694 118.62 118.62 92.41
With the nearest neighbours (Å) after each atom.
Element x y z (fractional)
Sn (0.2500, 0.7500, 0.5000)  4 Se 2.93
Sn (0.7500, 0.2500, 0.5000)  4 Se 2.93
Au (0.0000, 0.0000, 0.0000)  2 Se 2.42
Se (0.3089, 0.3089, 0.0000)  1 Au 2.42
Se (0.6911, 0.6911, 0.0000)  1 Au 2.42